(1)
The following is a DFT calculation (PBE) of crystalline BaAgSn2Pb at its relaxed geometry.

Cell lengths 4.9086, 4.9086, 7.4326 Å; angles 109.28, 109.28, 90.00 degrees
Last column: nearest neighbours and their distance in Å.
Positions (direct):
Ba1 0.0000 0.0000 0.0000  8 Sn 3.78, 4 Pb 4.10, 4 Ag 4.10
Ag1 0.2500 0.7500 0.5000  4 Sn 3.04
Sn1 0.6131 0.6131 0.2263  1 Sn 2.97, 2 Pb 3.04, 2 Ag 3.04
Sn2 0.3869 0.3869 0.7737  1 Sn 2.97, 2 Pb 3.04, 2 Ag 3.04
Pb1 0.7500 0.2500 0.5000  4 Sn 3.04

Results
Space group: I-4m2 (119)
Energy relative to the elements: -0.2849 eV per atom

***

(2)
The following is a DFT calculation (PBE) of crystalline Ba2Ag4Sn3Pb at its relaxed geometry.

Cell lengths 4.8975, 4.8975, 11.6937 Å; angles 90.00, 90.00, 90.00 degrees
Last column: nearest neighbours and their distance in Å.
Positions (direct):
Ba1 0.5000 0.0000 0.2403  6 Sn 3.73-3.90, 8 Ag 3.73-3.74, 2 Pb 3.90
Ba2 0.0000 0.5000 0.7597  6 Sn 3.73-3.90, 8 Ag 3.73-3.74, 2 Pb 3.90
Ag1 0.5000 0.5000 0.0000  4 Sn 2.84
Ag2 0.0000 0.0000 0.0000  4 Sn 2.84
Ag3 0.5000 0.0000 0.6396  3 Sn 2.78-2.94, 2 Pb 2.94
Ag4 0.0000 0.5000 0.3604  3 Sn 2.78-2.94, 2 Pb 2.94
Sn1 0.0000 0.0000 0.5000  4 Ag 2.94
Sn2 0.5000 0.0000 0.8775  5 Ag 2.78-2.84
Sn3 0.0000 0.5000 0.1225  5 Ag 2.78-2.84
Pb1 0.5000 0.5000 0.5000  4 Ag 2.94

Results
Space group: P-4m2 (115)
Energy relative to the elements: -0.3559 eV per atom

***

(3)
The following is a DFT calculation (PBE) of crystalline BaSr2Ag2Pb2 at its relaxed geometry.

Cell lengths 5.1723, 5.1723, 10.8320 Å; angles 76.19, 76.19, 60.00 degrees
Last column: nearest neighbours and their distance in Å.
Positions (direct):
Ba1 0.0000 0.0000 0.0000  6 Ag 3.77, 6 Pb 3.86, 2 Sr 3.95
Sr1 0.1264 0.1264 0.6207  3 Pb 3.34, 3 Ag 3.41
Sr2 0.8736 0.8736 0.3793  3 Pb 3.34, 3 Ag 3.41
Ag1 0.5931 0.5931 0.2208  3 Pb 2.99
Ag2 0.4069 0.4069 0.7792  3 Pb 2.99
Pb1 0.7451 0.7451 0.7646  3 Ag 2.99, 3 Sr 3.34
Pb2 0.2549 0.2549 0.2354  3 Ag 2.99, 3 Sr 3.34

Results
Space group: R-3m (166)
Energy relative to the elements: -0.3881 eV per atom

***

(4)
The following is a DFT calculation (PBE) of crystalline BaTbAgPb at its relaxed geometry.

Cell lengths 5.6387, 5.6387, 5.6387 Å; angles 60.00, 60.00, 60.00 degrees
Last column: nearest neighbours and their distance in Å.
Positions (direct):
Pb1 0.7500 0.7500 0.7500  4 Ba 3.45, 4 Tb 3.45
Tb1 0.0000 0.0000 0.0000  4 Pb 3.45, 4 Ag 3.45
Ba1 0.5000 0.5000 0.5000  4 Pb 3.45, 4 Ag 3.45
Ag1 0.2500 0.2500 0.2500  4 Ba 3.45, 4 Tb 3.45

Results
Space group: F-43m (216)
Energy relative to the elements: -0.3106 eV per atom

***

(5)
The following is a DFT calculation (PBE) of crystalline BaTc2AgPb at its relaxed geometry.

Cell lengths 5.2169, 5.5893, 5.2169 Å; angles 90.00, 90.00, 90.00 degrees
Last column: nearest neighbours and their distance in Å.
Positions (direct):
Pb1 0.5000 0.5000 0.5000  4 Ag 3.69, 8 Tc 3.82
Ba1 0.0000 0.0000 0.0000  4 Tc 2.61, 2 Ag 2.79
Ag1 0.0000 0.5000 0.0000  2 Ba 2.79
Tc1 0.0000 0.0000 0.5000  2 Ba 2.61
Tc2 0.5000 0.0000 0.0000  2 Ba 2.61

Results
Space group: P4/mmm (123)
Energy relative to the elements: 2.1759 eV per atom

***

(6)
The following is a DFT calculation (PBE) of crystalline Ba2Tl4Ag3Pb at its relaxed geometry.

Cell lengths 4.9488, 4.9488, 12.4426 Å; angles 90.00, 90.00, 90.00 degrees
Last column: nearest neighbours and their distance in Å.
Positions (direct):
Ba1 0.5000 0.0000 0.2461  8 Tl 3.75-3.94, 6 Ag 3.79-4.01, 2 Pb 4.01
Ba2 0.0000 0.5000 0.7539  8 Tl 3.75-3.94, 6 Ag 3.79-4.01, 2 Pb 4.01
Tl1 0.5000 0.5000 0.0000  4 Ag 2.95
Tl2 0.0000 0.0000 0.0000  4 Ag 2.95
Tl3 0.5000 0.0000 0.6448  3 Ag 2.82-3.06, 2 Pb 3.06
Tl4 0.0000 0.5000 0.3552  3 Ag 2.82-3.06, 2 Pb 3.06
Ag1 0.0000 0.0000 0.5000  4 Tl 3.06
Ag2 0.5000 0.0000 0.8714  5 Tl 2.82-2.95
Ag3 0.0000 0.5000 0.1286  5 Tl 2.82-2.95
Pb1 0.5000 0.5000 0.5000  4 Tl 3.06

Results
Space group: P-4m2 (115)
Energy relative to the elements: -0.1998 eV per atom